one | ## Ac2EuBi (PBE)

Data for an optimized crystal structure of Ac2EuBi.

Cell lengths 4.482, 4.482, 7.811 Å; angles 90.00, 90.00, 90.00 degrees
Each line ends with the local moment (μB).
Fractional coordinates of all 4 atoms:
Eu 0.500 0.500 0.000  6.93
Ac 0.000 0.000 0.728  0.07
Ac 0.000 0.000 0.272  0.07
Bi 0.500 0.500 0.500  -0.01

Summary:
The density of states at the Fermi level comes out at 4.26 states/eV/f.u. As for the calculated volume: 156.9 Å³/cell.

=====

two | ## Ac2EuBi (PBE)

Data for an optimized crystal structure of Ac2EuBi.

Cell lengths 6.018, 6.018, 6.018 Å; angles 60.00, 60.00, 60.00 degrees
Each line ends with the local moment (μB).
Fractional coordinates of all 4 atoms:
Eu 0.500 0.500 0.500  -6.92
Ac 0.250 0.250 0.250  -0.02
Ac 0.750 0.750 0.750  -0.02
Bi 0.000 0.000 0.000  0.03

Summary:
The density of states at the Fermi level comes out at 5.87 states/eV/f.u. As for the calculated volume: 154.1 Å³/cell.

=====

three | ## Ac2EuBi (PBE)

Data for an optimized crystal structure of Ac2EuBi.

Cell lengths 5.124, 5.398, 5.398 Å; angles 90.00, 90.00, 90.00 degrees
Each line ends with the local moment (μB).
Fractional coordinates of all 4 atoms:
Eu 0.500 0.500 0.500  -7.02
Ac 0.000 0.000 0.500  -0.11
Ac 0.000 0.500 0.000  -0.11
Bi 0.500 0.000 0.000  0.03

Summary:
The density of states at the Fermi level comes out at 3.80 states/eV/f.u. As for the calculated volume: 149.3 Å³/cell.

=====

The structure with the least stability is two.

=====

one | ## Ac2BiF (PBE)

Data for an optimized crystal structure of Ac2BiF.

Cell lengths 5.593, 5.593, 5.593 Å; angles 60.00, 60.00, 60.00 degrees
Fractional coordinates of all 4 atoms:
Ac 0.250 0.250 0.250
Ac 0.750 0.750 0.750
Bi 0.000 0.000 0.000
F 0.500 0.500 0.500

Summary:
The density of states at the Fermi level comes out at 3.12 states/eV/f.u. As for the calculated volume: 123.7 Å³/cell.

=====

two | ## Ac2BiF (PBE)

Data for an optimized crystal structure of Ac2BiF.

Cell lengths 4.450, 4.450, 7.776 Å; angles 73.37, 73.37, 60.00 degrees
Fractional coordinates of all 4 atoms:
Ac 0.764 0.764 0.709
Ac 0.236 0.236 0.291
Bi 0.000 0.000 0.000
F 0.500 0.500 0.500

Summary:
The density of states at the Fermi level comes out at 2.45 states/eV/f.u. As for the calculated volume: 125.9 Å³/cell.

=====

three | ## Ac2BiF (PBE)

Data for an optimized crystal structure of Ac2BiF.

Cell lengths 4.252, 5.463, 5.463 Å; angles 90.00, 90.00, 90.00 degrees
Each line ends with the local moment (μB).
Fractional coordinates of all 4 atoms:
Ac 0.000 0.000 0.500  0.10
Ac 0.000 0.500 0.000  0.10
Bi 0.500 0.000 0.000  0.00
F 0.500 0.500 0.500  0.01

Summary:
The density of states at the Fermi level comes out at 3.54 states/eV/f.u. As for the calculated volume: 126.9 Å³/cell.

=====

The structure with the least stability is three.

=====

one | ## Ac2FeBi (PBE)

Data for an optimized crystal structure of Ac2FeBi.

Cell lengths 3.684, 3.684, 11.483 Å; angles 80.77, 80.77, 60.00 degrees
Each line ends with the local moment (μB).
Fractional coordinates of all 4 atoms:
Ac 0.079 0.079 0.762  -0.10
Ac 0.921 0.921 0.238  -0.10
Bi 0.500 0.500 0.500  0.02
Fe 0.000 0.000 0.000  2.37

Summary:
The density of states at the Fermi level comes out at 5.51 states/eV/f.u. As for the calculated volume: 132.6 Å³/cell.

=====

two | ## Ac2FeBi (PBE)

Data for an optimized crystal structure of Ac2FeBi.

Cell lengths 4.251, 5.516, 5.516 Å; angles 90.00, 90.00, 90.00 degrees
Each line ends with the local moment (μB).
Fractional coordinates of all 4 atoms:
Ac 0.000 0.000 0.500  -0.17
Ac 0.000 0.500 0.000  -0.17
Bi 0.500 0.000 0.000  0.05
Fe 0.500 0.500 0.500  2.72

Summary:
The density of states at the Fermi level comes out at 6.73 states/eV/f.u. As for the calculated volume: 129.4 Å³/cell.

=====

The structure with the least stability is one.

=====

one | ## AcGaBi2 (PBE)

Data for an optimized crystal structure of AcGaBi2.

Cell lengths 5.693, 5.693, 5.693 Å; angles 60.00, 60.00, 60.00 degrees
Fractional coordinates of all 4 atoms:
Ac 0.000 0.000 0.000
Bi 0.250 0.250 0.250
Bi 0.750 0.750 0.750
Ga 0.500 0.500 0.500

Summary:
The density of states at the Fermi level comes out at 2.84 states/eV/f.u. As for the calculated volume: 130.4 Å³/cell.

=====

two | ## AcGaBi2 (PBE)

Data for an optimized crystal structure of AcGaBi2.

Cell lengths 4.379, 4.379, 6.674 Å; angles 90.00, 90.00, 90.00 degrees
Fractional coordinates of all 4 atoms:
Ac 0.500 0.500 0.500
Bi 0.000 0.000 0.766
Bi 0.000 0.000 0.234
Ga 0.500 0.500 0.000

Summary:
The density of states at the Fermi level comes out at 2.39 states/eV/f.u. As for the calculated volume: 128.0 Å³/cell.

=====

The structure with the least stability is one.

=====

one | ## AcGaBi2 (PBE)

Data for an optimized crystal structure of AcGaBi2.

Cell lengths 5.042, 5.042, 9.888 Å; angles 90.00, 90.00, 90.00 degrees
Fractional coordinates of all 8 atoms:
Ac 0.000 0.500 0.245
Ac 0.500 0.000 0.755
Ga 0.500 0.500 0.000
Ga 0.000 0.000 0.000
Bi 0.500 0.000 0.167
Bi 0.000 0.500 0.833
Bi 0.000 0.000 0.500
Bi 0.500 0.500 0.500

Summary:
The density of states at the Fermi level comes out at 1.52 states/eV/f.u. As for the calculated volume: 251.4 Å³/cell.

=====

two | ## AcGaBi2 (PBE)

Data for an optimized crystal structure of AcGaBi2.

Cell lengths 4.948, 4.989, 4.989 Å; angles 90.00, 90.00, 90.00 degrees
Fractional coordinates of all 4 atoms:
Ac 0.500 0.500 0.500
Bi 0.000 0.000 0.500
Bi 0.000 0.500 0.000
Ga 0.500 0.000 0.000

Summary:
The density of states at the Fermi level comes out at 2.95 states/eV/f.u. As for the calculated volume: 123.1 Å³/cell.

=====

The structure with the least stability is one.

=====

one | ## AcGaBi3 (PBE)

Data for an optimized crystal structure of AcGaBi3.

Cell lengths 6.736, 6.511, 14.756 Å; angles 90.00, 90.00, 90.00 degrees
Fractional coordinates of all 20 atoms:
Ac 0.750 0.508 0.685
Ac 0.250 0.492 0.315
Ac 0.750 0.008 0.315
Ac 0.250 0.992 0.685
Ga 0.500 0.250 0.110
Ga 0.000 0.750 0.890
Ga 0.500 0.750 0.890
Ga 0.000 0.250 0.110
Bi 0.000 0.250 0.501
Bi 0.500 0.750 0.499
Bi 0.000 0.750 0.499
Bi 0.500 0.250 0.501
Bi 0.250 0.167 0.924
Bi 0.750 0.833 0.076
Bi 0.250 0.667 0.076
Bi 0.750 0.333 0.924
Bi 0.250 0.487 0.753
Bi 0.750 0.513 0.247
Bi 0.250 0.987 0.247
Bi 0.750 0.013 0.753

Summary:
The density of states at the Fermi level comes out at 2.43 states/eV/f.u. As for the calculated volume: 647.2 Å³/cell.

=====

two | ## AcGaBi3 (PBE)

Data for an optimized crystal structure of AcGaBi3.

Cell lengths 5.546, 5.546, 5.546 Å; angles 90.00, 90.00, 90.00 degrees
Fractional coordinates of all 5 atoms:
Ac 0.500 0.500 0.500
Bi 0.000 0.500 0.000
Bi 0.000 0.000 0.500
Bi 0.500 0.000 0.000
Ga 0.000 0.000 0.000

Summary:
The density of states at the Fermi level comes out at 3.61 states/eV/f.u. As for the calculated volume: 170.6 Å³/cell.

=====

The structure with the least stability is two.

=====

one | ## AcGaBi (PBE)

Data for an optimized crystal structure of AcGaBi.

Cell lengths 4.010, 4.010, 6.348 Å; angles 106.49, 106.49, 95.83 degrees
Fractional coordinates of all 3 atoms:
Bi 0.026 0.026 0.053
Ac 0.329 0.329 0.658
Ga 0.644 0.644 0.289

Summary:
The density of states at the Fermi level comes out at 2.03 states/eV/f.u. As for the calculated volume: 92.0 Å³/cell.

=====

two | ## AcGaBi (PBE)

Data for an optimized crystal structure of AcGaBi.

Cell lengths 4.363, 5.045, 5.045 Å; angles 120.00, 90.00, 90.00 degrees
Fractional coordinates of all 3 atoms:
Ac 0.334 0.667 0.333
Bi 0.834 0.333 0.667
Ga 0.832 0.000 0.000

Summary:
The density of states at the Fermi level comes out at 1.80 states/eV/f.u. As for the calculated volume: 96.1 Å³/cell.

=====

three | ## AcGaBi (PBE)

Data for an optimized crystal structure of AcGaBi.

Cell lengths 4.390, 4.390, 11.886 Å; angles 79.40, 79.40, 60.00 degrees
Fractional coordinates of all 6 atoms:
Ac 0.453 0.074 0.723
Ac 0.585 0.206 0.323
Ga 0.849 0.470 0.532
Ga 0.191 0.812 0.508
Bi 0.326 0.947 0.102
Bi 0.049 0.670 0.933

Summary:
The density of states at the Fermi level comes out at 1.66 states/eV/f.u. As for the calculated volume: 193.9 Å³/cell.

=====

four | ## AcGaBi (PBE)

Data for an optimized crystal structure of AcGaBi.

Cell lengths 5.458, 5.458, 5.458 Å; angles 60.00, 60.00, 60.00 degrees
Fractional coordinates of all 3 atoms:
Ac 0.250 0.250 0.250
Bi 0.500 0.500 0.500
Ga 0.000 0.000 0.000

Summary:
The density of states at the Fermi level comes out at 3.79 states/eV/f.u. As for the calculated volume: 114.9 Å³/cell.

=====

The structure with the least stability is four.

=====

one | ## AcGdBi (PBE)

Data for an optimized crystal structure of AcGdBi.

Cell lengths 4.363, 5.400, 5.400 Å; angles 120.00, 90.00, 90.00 degrees
Each line ends with the local moment (μB).
Fractional coordinates of all 3 atoms:
Ac 0.000 0.000 0.000  0.09
Gd 0.500 0.333 0.667  7.26
Bi 0.499 0.667 0.333  -0.01

Summary:
The density of states at the Fermi level comes out at 5.89 states/eV/f.u. As for the calculated volume: 110.2 Å³/cell.

=====

two | ## AcGdBi (PBE)

Data for an optimized crystal structure of AcGdBi.

Cell lengths 4.197, 4.197, 6.715 Å; angles 108.21, 108.21, 90.00 degrees
Each line ends with the local moment (μB).
Fractional coordinates of all 3 atoms:
Ac 0.276 0.276 0.553  0.15
Gd 0.978 0.978 0.956  7.30
Bi 0.595 0.595 0.191  -0.03

Summary:
The density of states at the Fermi level comes out at 3.45 states/eV/f.u. As for the calculated volume: 106.1 Å³/cell.

=====

three | ## AcGdBi (PBE)

Data for an optimized crystal structure of AcGdBi.

Cell lengths 5.512, 5.512, 5.512 Å; angles 60.00, 60.00, 60.00 degrees
Each line ends with the local moment (μB).
Fractional coordinates of all 3 atoms:
Ac 0.500 0.500 0.500  -0.23
Gd 0.000 0.000 0.000  -7.41
Bi 0.250 0.250 0.250  0.07

Summary:
The density of states at the Fermi level comes out at 5.50 states/eV/f.u. As for the calculated volume: 118.4 Å³/cell.

=====

The structure with the least stability is three.